[1]
The following is a PBE calculation of a relaxed Pm3Cd4Pt4 crystal, from Alexandria via LeMat-Bulk.

a = 4.040 Å, b = 8.048 Å, c = 8.919 Å
α = 116.82°, β = 103.09°, γ = 90.00°
Fractional coordinates of all 11 atoms:
Pm 0.116 0.116 0.231
Pm 0.884 0.884 0.769
Pm 0.000 0.500 0.000
Cd 0.330 0.139 0.660
Cd 0.670 0.478 0.340
Cd 0.670 0.861 0.340
Cd 0.330 0.522 0.660
Pt 0.240 0.740 0.480
Pt 0.760 0.260 0.520
Pt 0.500 0.803 0.000
Pt 0.500 0.197 0.000

Calculated values
ΔH_f (0 K) = -0.733 eV per atom
uncorrected energy = -4.558 eV/atom
DOS at the Fermi energy = 0.605 states/eV per atom
density = 11.04 g/cm3



[2]
The following is a PBE calculation of a relaxed Pm2CdPt crystal, from Alexandria via LeMat-Bulk.

a = 3.361 Å, b = 3.361 Å, c = 11.039 Å
α = 81.24°, β = 81.24°, γ = 60.00°
Fractional coordinates of all 4 atoms:
Cd 0.500 0.500 0.500
Pt 0.000 0.000 0.000
Pm 0.083 0.083 0.751
Pm 0.917 0.917 0.249

Calculated values
ΔH_f (0 K) = 0.053 eV per atom
uncorrected energy = -4.061 eV/atom
DOS at the Fermi energy = 1.088 states/eV per atom
density = 9.33 g/cm3



[3]
The following is a PBE calculation of a relaxed Pm3CdPt8 crystal, from Alexandria via LeMat-Bulk.

a = 5.465 Å, b = 5.465 Å, c = 9.481 Å
α = 73.25°, β = 73.25°, γ = 60.00°
Fractional coordinates of all 12 atoms:
Pm 0.377 0.377 0.868
Pm 0.993 0.993 0.021
Pm 0.506 0.506 0.482
Cd 0.871 0.871 0.387
Pt 0.941 0.437 0.185
Pt 0.437 0.937 0.689
Pt 0.437 0.437 0.185
Pt 0.937 0.937 0.689
Pt 0.188 0.188 0.436
Pt 0.688 0.688 0.936
Pt 0.437 0.941 0.185
Pt 0.937 0.437 0.689

Calculated values
ΔH_f (0 K) = -0.962 eV per atom
uncorrected energy = -6.253 eV/atom
DOS at the Fermi energy = 0.484 states/eV per atom
density = 15.13 g/cm3



[4]
The following is a PBE calculation of a relaxed Pm3Cd2Pt3 crystal, from Alexandria via LeMat-Bulk.

a = 5.898 Å, b = 8.644 Å, c = 8.644 Å
α = 120.00°, β = 90.00°, γ = 90.00°
Fractional coordinates of all 16 atoms:
Pm 0.750 0.282 0.000
Pm 0.750 0.718 0.718
Pm 0.750 0.000 0.282
Pm 0.250 0.718 0.000
Pm 0.250 0.282 0.282
Pm 0.250 0.000 0.718
Cd 0.000 0.333 0.667
Cd 0.500 0.667 0.333
Cd 0.000 0.667 0.333
Cd 0.500 0.333 0.667
Pt 0.750 0.622 0.000
Pt 0.750 0.378 0.378
Pt 0.750 0.000 0.622
Pt 0.250 0.378 0.000
Pt 0.250 0.622 0.622
Pt 0.250 0.000 0.378

Calculated values
ΔH_f (0 K) = -0.863 eV per atom
uncorrected energy = -5.138 eV/atom
DOS at the Fermi energy = 0.566 states/eV per atom
density = 10.83 g/cm3



[5]
The following is a PBE calculation of a relaxed Pm6CdPt2 crystal, from Alexandria via LeMat-Bulk.

a = 8.786 Å, b = 8.786 Å, c = 8.786 Å
α = 104.51°, β = 110.44°, γ = 113.60°
Fractional coordinates of all 18 atoms:
Pm 0.529 0.710 0.819
Pm 0.471 0.290 0.181
Pm 0.109 0.290 0.819
Pm 0.891 0.710 0.181
Pm 0.802 0.764 0.566
Pm 0.198 0.236 0.434
Pm 0.198 0.764 0.961
Pm 0.802 0.236 0.039
Pm 0.696 0.367 0.671
Pm 0.304 0.633 0.329
Pm 0.304 0.975 0.671
Pm 0.696 0.025 0.329
Cd 0.000 0.500 0.500
Cd 0.000 0.000 0.000
Pt 0.500 0.368 0.868
Pt 0.500 0.632 0.132
Pt 0.659 0.000 0.659
Pt 0.341 0.000 0.341

Calculated values
ΔH_f (0 K) = -0.615 eV per atom
uncorrected energy = -5.226 eV/atom
DOS at the Fermi energy = 1.008 states/eV per atom
density = 8.79 g/cm3



[6]
The following is a PBE calculation of a relaxed PmCd2Pt crystal, from Alexandria via LeMat-Bulk.

a = 3.180 Å, b = 3.180 Å, c = 10.863 Å
α = 81.58°, β = 81.58°, γ = 60.00°
Fractional coordinates of all 4 atoms:
Cd 0.099 0.099 0.703
Cd 0.901 0.901 0.297
Pt 0.500 0.500 0.500
Pm 0.000 0.000 0.000

Calculated values
ΔH_f (0 K) = 0.096 eV per atom
uncorrected energy = -3.060 eV/atom
DOS at the Fermi energy = 0.517 states/eV per atom
density = 10.01 g/cm3



[7]
The following is a PBE calculation of a relaxed PmCd2Pt crystal, from Alexandria via LeMat-Bulk.

a = 4.959 Å, b = 4.959 Å, c = 4.959 Å
α = 60.00°, β = 60.00°, γ = 60.00°
Fractional coordinates of all 4 atoms:
Cd 0.250 0.250 0.250
Cd 0.750 0.750 0.750
Pt 0.500 0.500 0.500
Pm 0.000 0.000 0.000

Calculated values
ΔH_f (0 K) = -0.403 eV per atom
uncorrected energy = -3.559 eV/atom
DOS at the Fermi energy = 1.317 states/eV per atom
density = 10.88 g/cm3



[8]
The following is a PBE calculation of a relaxed PmCd5Pt2 crystal, from Alexandria via LeMat-Bulk.

a = 4.091 Å, b = 6.951 Å, c = 6.951 Å
α = 76.41°, β = 72.89°, γ = 72.89°
Fractional coordinates of all 8 atoms:
Pm 0.000 0.000 0.000
Cd 0.000 0.500 0.500
Cd 0.653 0.535 0.160
Cd 0.347 0.465 0.840
Cd 0.347 0.840 0.465
Cd 0.653 0.160 0.535
Pt 0.718 0.782 0.782
Pt 0.282 0.218 0.218

Calculated values
ΔH_f (0 K) = -0.430 eV per atom
uncorrected energy = -3.106 eV/atom
DOS at the Fermi energy = 0.463 states/eV per atom
density = 10.23 g/cm3



[9]
The following is a PBE calculation of a relaxed Pm2CdPt2 crystal, from Alexandria via LeMat-Bulk.

a = 3.856 Å, b = 7.828 Å, c = 7.828 Å
α = 90.00°, β = 90.00°, γ = 90.00°
Fractional coordinates of all 10 atoms:
Pm 0.500 0.170 0.670
Pm 0.500 0.670 0.830
Pm 0.500 0.830 0.330
Pm 0.500 0.330 0.170
Cd 0.000 0.000 0.000
Cd 0.000 0.500 0.500
Pt 0.000 0.370 0.870
Pt 0.000 0.870 0.630
Pt 0.000 0.630 0.130
Pt 0.000 0.130 0.370

Calculated values
ΔH_f (0 K) = -0.977 eV per atom
uncorrected energy = -5.476 eV/atom
DOS at the Fermi energy = 0.821 states/eV per atom
density = 11.14 g/cm3



[10]
The following is a PBE calculation of a relaxed PmCd2Pt crystal, from Alexandria via LeMat-Bulk.

a = 5.161 Å, b = 4.200 Å, c = 4.200 Å
α = 90.00°, β = 90.00°, γ = 90.00°
Fractional coordinates of all 4 atoms:
Cd 0.000 0.000 0.500
Cd 0.000 0.500 0.000
Pt 0.500 0.500 0.500
Pm 0.500 0.000 0.000

Calculated values
ΔH_f (0 K) = -0.476 eV per atom
uncorrected energy = -3.632 eV/atom
DOS at the Fermi energy = 0.474 states/eV per atom
density = 10.31 g/cm3



[11]
The following is a PBE calculation of a relaxed Pm2CdPt9 crystal, from Alexandria via LeMat-Bulk.

a = 5.440 Å, b = 5.440 Å, c = 9.416 Å
α = 73.21°, β = 73.21°, γ = 60.00°
Fractional coordinates of all 12 atoms:
Pm 0.864 0.864 0.409
Pm 0.136 0.136 0.591
Cd 0.000 0.000 0.000
Pt 0.668 0.668 0.997
Pt 0.332 0.332 0.003
Pt 0.500 0.500 0.500
Pt 0.413 0.413 0.254
Pt 0.919 0.413 0.254
Pt 0.413 0.919 0.254
Pt 0.587 0.587 0.746
Pt 0.587 0.081 0.746
Pt 0.081 0.587 0.746

Calculated values
ΔH_f (0 K) = -0.649 eV per atom
uncorrected energy = -6.048 eV/atom
DOS at the Fermi energy = 0.714 states/eV per atom
density = 15.75 g/cm3



[12]
The following is a PBE calculation of a relaxed Pm2CdPt crystal, from Alexandria via LeMat-Bulk.

a = 3.681 Å, b = 3.681 Å, c = 7.528 Å
α = 90.00°, β = 90.00°, γ = 90.00°
Fractional coordinates of all 4 atoms:
Cd 0.500 0.500 0.500
Pt 0.500 0.500 0.000
Pm 0.000 0.000 0.776
Pm 0.000 0.000 0.224

Calculated values
ΔH_f (0 K) = -0.709 eV per atom
uncorrected energy = -4.824 eV/atom
DOS at the Fermi energy = 0.850 states/eV per atom
density = 9.72 g/cm3



[13]
The following is a PBE calculation of a relaxed PmCd5Pt crystal, from Alexandria via LeMat-Bulk.

a = 4.804 Å, b = 4.804 Å, c = 7.234 Å
α = 90.00°, β = 90.00°, γ = 90.00°
Fractional coordinates of all 7 atoms:
Pm 0.000 0.000 0.000
Cd 0.500 0.000 0.704
Cd 0.000 0.500 0.704
Cd 0.500 0.500 0.000
Cd 0.000 0.500 0.296
Cd 0.500 0.000 0.296
Pt 0.000 0.000 0.500

Calculated values
ΔH_f (0 K) = -0.321 eV per atom
uncorrected energy = -2.516 eV/atom
DOS at the Fermi energy = 0.707 states/eV per atom
density = 8.97 g/cm3



[14]
The following is a PBE calculation of a relaxed PmCd4Pt2 crystal, from Alexandria via LeMat-Bulk.

a = 4.091 Å, b = 8.698 Å, c = 8.698 Å
α = 90.00°, β = 90.00°, γ = 90.00°
Fractional coordinates of all 14 atoms:
Pm 0.500 0.000 0.000
Pm 0.000 0.500 0.500
Cd 0.000 0.098 0.339
Cd 0.000 0.902 0.661
Cd 0.500 0.161 0.598
Cd 0.500 0.839 0.402
Cd 0.500 0.402 0.839
Cd 0.500 0.598 0.161
Cd 0.000 0.339 0.098
Cd 0.000 0.661 0.902
Pt 0.000 0.178 0.822
Pt 0.000 0.822 0.178
Pt 0.500 0.678 0.678
Pt 0.500 0.322 0.322

Calculated values
ΔH_f (0 K) = -0.498 eV per atom
uncorrected energy = -3.425 eV/atom
DOS at the Fermi energy = 0.417 states/eV per atom
density = 10.57 g/cm3



[15]
The following is a PBE calculation of a relaxed PmCd4Pt crystal, from Alexandria via LeMat-Bulk.

a = 4.331 Å, b = 7.490 Å, c = 8.539 Å
α = 90.00°, β = 90.00°, γ = 90.00°
Fractional coordinates of all 12 atoms:
Pm 0.000 0.603 0.750
Pm 0.000 0.397 0.250
Cd 0.000 0.000 0.500
Cd 0.000 0.000 0.000
Cd 0.500 0.943 0.750
Cd 0.500 0.057 0.250
Cd 0.500 0.688 0.049
Cd 0.500 0.312 0.951
Cd 0.500 0.688 0.451
Cd 0.500 0.312 0.549
Pt 0.000 0.224 0.750
Pt 0.000 0.776 0.250

Calculated values
ΔH_f (0 K) = -0.395 eV per atom
uncorrected energy = -2.804 eV/atom
DOS at the Fermi energy = 0.578 states/eV per atom
density = 9.47 g/cm3



[16]
The following is a PBE calculation of a relaxed Pm3CdPt2 crystal, from Alexandria via LeMat-Bulk.

a = 4.010 Å, b = 4.533 Å, c = 8.892 Å
α = 90.00°, β = 103.03°, γ = 90.00°
Fractional coordinates of all 6 atoms:
Pm 0.338 0.000 0.676
Pm 0.662 0.000 0.324
Pm 0.500 0.500 0.000
Cd 0.000 0.000 0.000
Pt 0.128 0.500 0.255
Pt 0.872 0.500 0.745

Calculated values
ΔH_f (0 K) = -0.661 eV per atom
uncorrected energy = -5.202 eV/atom
DOS at the Fermi energy = 0.757 states/eV per atom
density = 9.89 g/cm3



[17]
The following is a PBE calculation of a relaxed Pm2Cd3Pt crystal, from Alexandria via LeMat-Bulk.

a = 3.598 Å, b = 4.877 Å, c = 8.484 Å
α = 90.00°, β = 90.00°, γ = 90.00°
Fractional coordinates of all 6 atoms:
Pm 0.000 0.500 0.045
Pm 0.000 0.000 0.471
Cd 0.500 0.000 0.828
Cd 0.500 0.000 0.162
Cd 0.500 0.500 0.663
Pt 0.500 0.500 0.330

Calculated values
ΔH_f (0 K) = -0.536 eV per atom
uncorrected energy = -3.584 eV/atom
DOS at the Fermi energy = 0.701 states/eV per atom
density = 9.17 g/cm3



[18]
The following is a PBE calculation of a relaxed PmCd2Pt2 crystal, from Alexandria via LeMat-Bulk.

a = 4.677 Å, b = 5.431 Å, c = 9.072 Å
α = 106.28°, β = 90.00°, γ = 90.00°
Fractional coordinates of all 10 atoms:
Pm 0.250 0.852 0.227
Pm 0.750 0.148 0.773
Cd 0.250 0.769 0.859
Cd 0.750 0.231 0.141
Cd 0.250 0.382 0.551
Cd 0.750 0.618 0.449
Pt 0.250 0.896 0.576
Pt 0.750 0.104 0.424
Pt 0.250 0.339 0.994
Pt 0.750 0.661 0.006

Calculated values
ΔH_f (0 K) = -0.634 eV per atom
uncorrected energy = -4.367 eV/atom
DOS at the Fermi energy = 0.426 states/eV per atom
density = 11.41 g/cm3



[19]
The following is a PBE calculation of a relaxed Pm2Cd3Pt4 crystal, from Alexandria via LeMat-Bulk.

a = 7.285 Å, b = 7.514 Å, c = 7.461 Å
α = 90.00°, β = 90.00°, γ = 109.49°
Fractional coordinates of all 18 atoms:
Pm 0.556 0.190 0.323
Pm 0.944 0.810 0.823
Pm 0.444 0.810 0.677
Pm 0.056 0.190 0.177
Cd 0.000 0.500 0.500
Cd 0.500 0.500 0.000
Cd 0.743 0.253 0.830
Cd 0.757 0.747 0.330
Cd 0.257 0.747 0.170
Cd 0.243 0.253 0.670
Pt 0.843 0.073 0.538
Pt 0.657 0.927 0.038
Pt 0.157 0.927 0.462
Pt 0.343 0.073 0.962
Pt 0.868 0.483 0.136
Pt 0.632 0.517 0.636
Pt 0.132 0.517 0.864
Pt 0.368 0.483 0.364

Calculated values
ΔH_f (0 K) = -0.710 eV per atom
uncorrected energy = -4.755 eV/atom
DOS at the Fermi energy = 0.370 states/eV per atom
density = 12.14 g/cm3



[20]
The following is a PBE calculation of a relaxed PmCd3Pt2 crystal, from Alexandria via LeMat-Bulk.

a = 4.020 Å, b = 8.680 Å, c = 9.409 Å
α = 122.86°, β = 90.00°, γ = 103.39°
Fractional coordinates of all 12 atoms:
Pm 0.867 0.734 0.867
Pm 0.133 0.266 0.133
Cd 0.328 0.656 0.533
Cd 0.000 0.999 0.648
Cd 0.672 0.344 0.877
Cd 0.328 0.656 0.123
Cd 0.000 0.001 0.352
Cd 0.672 0.344 0.467
Pt 0.500 0.000 0.856
Pt 0.500 0.000 0.144
Pt 0.798 0.595 0.297
Pt 0.202 0.405 0.703

Calculated values
ΔH_f (0 K) = -0.552 eV per atom
uncorrected energy = -3.815 eV/atom
DOS at the Fermi energy = 0.475 states/eV per atom
density = 10.93 g/cm3



[21]
The following is a PBE calculation of a relaxed Pm3CdPt2 crystal, from Alexandria via LeMat-Bulk.

a = 3.625 Å, b = 3.625 Å, c = 11.324 Å
α = 90.00°, β = 90.00°, γ = 90.00°
Fractional coordinates of all 6 atoms:
Pm 0.000 0.000 0.000
Pm 0.000 0.000 0.691
Pm 0.000 0.000 0.309
Cd 0.500 0.500 0.500
Pt 0.500 0.500 0.836
Pt 0.500 0.500 0.164

Calculated values
ΔH_f (0 K) = -0.824 eV per atom
uncorrected energy = -5.366 eV/atom
DOS at the Fermi energy = 0.930 states/eV per atom
density = 10.47 g/cm3



[22]
The following is a PBE calculation of a relaxed Pm2Cd6Pt3 crystal, from Alexandria via LeMat-Bulk.

a = 4.214 Å, b = 8.330 Å, c = 8.330 Å
α = 120.00°, β = 90.00°, γ = 90.00°
Fractional coordinates of all 11 atoms:
Pm 0.000 0.667 0.333
Pm 0.000 0.333 0.667
Cd 0.500 0.721 0.721
Cd 0.500 0.000 0.279
Cd 0.000 0.202 0.202
Cd 0.000 0.798 0.000
Cd 0.500 0.279 0.000
Cd 0.000 0.000 0.798
Pt 0.500 0.404 0.404
Pt 0.500 0.596 0.000
Pt 0.500 0.000 0.596

Calculated values
ΔH_f (0 K) = -0.439 eV per atom
uncorrected energy = -3.449 eV/atom
DOS at the Fermi energy = 0.373 states/eV per atom
density = 10.16 g/cm3



[23]
The following is a PBE calculation of a relaxed Pm3Cd7Pt4 crystal, from Alexandria via LeMat-Bulk.

a = 4.185 Å, b = 8.554 Å, c = 9.567 Å
α = 74.31°, β = 77.37°, γ = 75.84°
Fractional coordinates of all 14 atoms:
Pm 0.298 0.185 0.220
Pm 0.702 0.815 0.780
Pm 0.000 0.500 0.500
Cd 0.326 0.842 0.507
Cd 0.481 0.223 0.815
Cd 0.829 0.401 0.941
Cd 0.674 0.158 0.493
Cd 0.171 0.599 0.059
Cd 0.000 0.000 0.000
Cd 0.519 0.777 0.185
Pt 0.652 0.433 0.263
Pt 0.348 0.567 0.737
Pt 0.885 0.921 0.309
Pt 0.115 0.079 0.691

Calculated values
ΔH_f (0 K) = -0.590 eV per atom
uncorrected energy = -3.791 eV/atom
DOS at the Fermi energy = 0.554 states/eV per atom
density = 10.54 g/cm3